DFT (meta-GGA SCAN) results for a crystal of ZnHgRu2 relaxed with PBEsol.

It has space group Cmmm (No. 65), with a = 5.4280 Å, b = 7.7942 Å, c = 2.8464 Å, α = 90.00°, β = 90.00° and γ = 90.00°. The inequivalent atoms are Zn at (0.0000, 0.0000, 0.0000), Hg at (0.0000, 0.5000, 0.0000) and Ru at (0.2500, 0.2500, 0.5000).

As for the total magnetic moment: 0.78 μB per atom. Its density of states at the Fermi level is 0.645 states/eV per atom. As for the formation energy: 0.465 eV per atom.